Model P:
Computed, not measured: Ba2CdPRh after structural relaxation at the PBE level of DFT.

calculated volume	34.2	A^3/atom

CIF file:
```
data_Ba2CdPRh
_space_group_name_H-M_alt 'P 1'
_space_group_IT_number 1
_cell_length_a 6.248
_cell_length_b 6.248
_cell_length_c 4.380
_cell_angle_alpha 90.00
_cell_angle_beta 90.00
_cell_angle_gamma 90.00
loop_
_space_group_symop_operation_xyz
'x,y,z'
loop_
_atom_site_label
_atom_site_type_symbol
_atom_site_fract_x
_atom_site_fract_y
_atom_site_fract_z
P1 P 0.000 0.000 0.000
Rh1 Rh 0.000 0.000 0.500
Ba1 Ba 0.000 0.500 0.000
Ba2 Ba 0.500 0.000 0.000
Cd1 Cd 0.500 0.500 0.500
```

Model Q:
Computed, not measured: Ba2CdPRh after structural relaxation at the PBE level of DFT.

calculated volume	34.0	A^3/atom

CIF file:
```
data_Ba2CdPRh
_space_group_name_H-M_alt 'P 1'
_space_group_IT_number 1
_cell_length_a 6.168
_cell_length_b 6.168
_cell_length_c 4.474
_cell_angle_alpha 90.00
_cell_angle_beta 90.00
_cell_angle_gamma 90.00
loop_
_space_group_symop_operation_xyz
'x,y,z'
loop_
_atom_site_label
_atom_site_type_symbol
_atom_site_fract_x
_atom_site_fract_y
_atom_site_fract_z
P1 P 0.000 0.000 0.500
Rh1 Rh 0.000 0.000 0.000
Ba1 Ba 0.000 0.500 0.000
Ba2 Ba 0.500 0.000 0.000
Cd1 Cd 0.500 0.500 0.500
```

Going by the energies, model P is most stable and the next is 3.9 kJ/mol of atoms up.

Model P:
Computed, not measured: BaCdPS2 after structural relaxation at the PBE level of DFT.

calculated volume	46.7	A^3/atom

CIF file:
```
data_BaCdPS2
_space_group_name_H-M_alt 'P 1'
_space_group_IT_number 1
_cell_length_a 6.042
_cell_length_b 6.042
_cell_length_c 6.398
_cell_angle_alpha 90.00
_cell_angle_beta 90.00
_cell_angle_gamma 90.00
loop_
_space_group_symop_operation_xyz
'x,y,z'
loop_
_atom_site_label
_atom_site_type_symbol
_atom_site_fract_x
_atom_site_fract_y
_atom_site_fract_z
P1 P 0.000 0.000 0.500
S1 S 0.000 0.500 0.000
S2 S 0.500 0.000 0.000
Ba1 Ba 0.000 0.000 0.000
Cd1 Cd 0.500 0.500 0.500
```

Model Q:
Computed, not measured: BaCdPS2 after structural relaxation at the PBE level of DFT.

calculated volume	26.6	A^3/atom

CIF file:
```
data_BaCdPS2
_space_group_name_H-M_alt 'P 1'
_space_group_IT_number 1
_cell_length_a 5.201
_cell_length_b 5.201
_cell_length_c 4.922
_cell_angle_alpha 90.00
_cell_angle_beta 90.00
_cell_angle_gamma 90.00
loop_
_space_group_symop_operation_xyz
'x,y,z'
loop_
_atom_site_label
_atom_site_type_symbol
_atom_site_fract_x
_atom_site_fract_y
_atom_site_fract_z
P1 P 0.000 0.000 0.500
S1 S 0.000 0.500 0.000
S2 S 0.500 0.000 0.000
Ba1 Ba 0.500 0.500 0.500
Cd1 Cd 0.000 0.000 0.000
```

Going by the energies, model Q is most stable and the next is 94.0 kJ/mol of atoms up.

Model P:
Computed, not measured: Ba2CdPb after structural relaxation at the PBE level of DFT.

calculated volume	44.9	A^3/atom

CIF file:
```
data_Ba2CdPb
_space_group_name_H-M_alt 'P 1'
_space_group_IT_number 1
_cell_length_a 5.576
_cell_length_b 5.576
_cell_length_c 8.315
_cell_angle_alpha 78.49
_cell_angle_beta 78.49
_cell_angle_gamma 45.32
loop_
_space_group_symop_operation_xyz
'x,y,z'
loop_
_atom_site_label
_atom_site_type_symbol
_atom_site_fract_x
_atom_site_fract_y
_atom_site_fract_z
Pb1 Pb 0.250 0.250 0.250
Ba1 Ba 0.995 0.995 0.011
Ba2 Ba 0.505 0.505 0.489
Cd1 Cd 0.750 0.750 0.750
```

Model Q:
Computed, not measured: Ba2CdPb after structural relaxation at the PBE level of DFT.

calculated volume	38.9	A^3/atom

CIF file:
```
data_Ba2CdPb
_space_group_name_H-M_alt 'P 1'
_space_group_IT_number 1
_cell_length_a 5.846
_cell_length_b 7.538
_cell_length_c 7.547
_cell_angle_alpha 69.22
_cell_angle_beta 89.95
_cell_angle_gamma 89.97
loop_
_space_group_symop_operation_xyz
'x,y,z'
loop_
_atom_site_label
_atom_site_type_symbol
_atom_site_fract_x
_atom_site_fract_y
_atom_site_fract_z
Pb1 Pb 0.250 0.340 0.344
Pb2 Pb 0.750 0.660 0.656
Ba1 Ba 0.250 0.854 0.361
Ba2 Ba 0.750 0.146 0.639
Ba3 Ba 0.250 0.363 0.857
Ba4 Ba 0.750 0.637 0.143
Cd1 Cd 0.750 0.147 0.152
Cd2 Cd 0.250 0.853 0.848
```

Going by the energies, model Q is most stable and the next is 20.0 kJ/mol of atoms up.

Model P:
Computed, not measured: Ba2CdPb after structural relaxation at the PBE level of DFT.

calculated volume	48.7	A^3/atom

CIF file:
```
data_Ba2CdPb
_space_group_name_H-M_alt 'P 1'
_space_group_IT_number 1
_cell_length_a 9.337
_cell_length_b 9.337
_cell_length_c 9.337
_cell_angle_alpha 31.27
_cell_angle_beta 31.27
_cell_angle_gamma 31.27
loop_
_space_group_symop_operation_xyz
'x,y,z'
loop_
_atom_site_label
_atom_site_type_symbol
_atom_site_fract_x
_atom_site_fract_y
_atom_site_fract_z
Pb1 Pb 0.780 0.780 0.780
Ba1 Ba 0.036 0.036 0.036
Ba2 Ba 0.213 0.213 0.213
Cd1 Cd 0.471 0.471 0.471
```

Model Q:
Computed, not measured: Ba2CdPb after structural relaxation at the PBE level of DFT.

calculated volume	38.4	A^3/atom

CIF file:
```
data_Ba2CdPb
_space_group_name_H-M_alt 'P 1'
_space_group_IT_number 1
_cell_length_a 6.566
_cell_length_b 10.527
_cell_length_c 8.893
_cell_angle_alpha 90.00
_cell_angle_beta 91.48
_cell_angle_gamma 90.00
loop_
_space_group_symop_operation_xyz
'x,y,z'
loop_
_atom_site_label
_atom_site_type_symbol
_atom_site_fract_x
_atom_site_fract_y
_atom_site_fract_z
Pb1 Pb 0.557 0.000 0.513
Pb2 Pb 0.557 0.500 0.013
Pb3 Pb 0.287 0.000 0.831
Pb4 Pb 0.287 0.500 0.331
Ba1 Ba 0.051 0.820 0.483
Ba2 Ba 0.051 0.180 0.483
Ba3 Ba 0.051 0.320 0.983
Ba4 Ba 0.051 0.680 0.983
Ba5 Ba 0.534 0.816 0.175
Ba6 Ba 0.534 0.184 0.175
Ba7 Ba 0.534 0.316 0.675
Ba8 Ba 0.534 0.684 0.675
Cd1 Cd 0.016 0.000 0.138
Cd2 Cd 0.016 0.500 0.638
Cd3 Cd 0.786 0.000 0.833
Cd4 Cd 0.786 0.500 0.333
```

Going by the energies, model Q is most stable and the next is 9.1 kJ/mol of atoms up.

Model P:
Computed, not measured: Ba2CdPb after structural relaxation at the PBE level of DFT.

calculated volume	44.2	A^3/atom

CIF file:
```
data_Ba2CdPb
_space_group_name_H-M_alt 'P 1'
_space_group_IT_number 1
_cell_length_a 10.600
_cell_length_b 10.600
_cell_length_c 10.600
_cell_angle_alpha 24.27
_cell_angle_beta 24.27
_cell_angle_gamma 24.27
loop_
_space_group_symop_operation_xyz
'x,y,z'
loop_
_atom_site_label
_atom_site_type_symbol
_atom_site_fract_x
_atom_site_fract_y
_atom_site_fract_z
Pb1 Pb 0.750 0.750 0.750
Ba1 Ba 0.002 0.002 0.002
Ba2 Ba 0.498 0.498 0.498
Cd1 Cd 0.250 0.250 0.250
```

Model Q:
Computed, not measured: Ba2CdPb after structural relaxation at the PBE level of DFT.

calculated volume	39.0	A^3/atom

CIF file:
```
data_Ba2CdPb
_space_group_name_H-M_alt 'P 1'
_space_group_IT_number 1
_cell_length_a 6.108
_cell_length_b 4.184
_cell_length_c 6.111
_cell_angle_alpha 90.00
_cell_angle_beta 93.50
_cell_angle_gamma 90.00
loop_
_space_group_symop_operation_xyz
'x,y,z'
loop_
_atom_site_label
_atom_site_type_symbol
_atom_site_fract_x
_atom_site_fract_y
_atom_site_fract_z
Pb1 Pb 0.317 0.000 0.808
Ba1 Ba 0.252 0.500 0.293
Ba2 Ba 0.802 0.500 0.742
Cd1 Cd 0.738 0.000 0.229
```

Going by the energies, model Q is most stable and the next is 22.7 kJ/mol of atoms up.

Model P:
Computed, not measured: Ba2CdPb after structural relaxation at the PBE level of DFT.

calculated volume	39.4	A^3/atom

CIF file:
```
data_Ba2CdPb
_space_group_name_H-M_alt 'P 1'
_space_group_IT_number 1
_cell_length_a 6.061
_cell_length_b 6.061
_cell_length_c 6.061
_cell_angle_alpha 60.00
_cell_angle_beta 60.00
_cell_angle_gamma 60.00
loop_
_space_group_symop_operation_xyz
'x,y,z'
loop_
_atom_site_label
_atom_site_type_symbol
_atom_site_fract_x
_atom_site_fract_y
_atom_site_fract_z
Pb1 Pb 0.500 0.500 0.500
Ba1 Ba 0.250 0.250 0.250
Ba2 Ba 0.750 0.750 0.750
Cd1 Cd 0.000 0.000 0.000
```

Model Q:
Computed, not measured: Ba2CdPb after structural relaxation at the PBE level of DFT.

calculated volume	49.6	A^3/atom

CIF file:
```
data_Ba2CdPb
_space_group_name_H-M_alt 'P 1'
_space_group_IT_number 1
_cell_length_a 6.043
_cell_length_b 6.043
_cell_length_c 11.669
_cell_angle_alpha 74.99
_cell_angle_beta 74.99
_cell_angle_gamma 90.00
loop_
_space_group_symop_operation_xyz
'x,y,z'
loop_
_atom_site_label
_atom_site_type_symbol
_atom_site_fract_x
_atom_site_fract_y
_atom_site_fract_z
Pb1 Pb 0.000 0.000 0.000
Pb2 Pb 0.750 0.250 0.500
Ba1 Ba 0.624 0.125 0.250
Ba2 Ba 0.126 0.625 0.250
Ba3 Ba 0.375 0.376 0.750
Ba4 Ba 0.875 0.874 0.750
Cd1 Cd 0.500 0.500 0.000
Cd2 Cd 0.250 0.750 0.500
```

Going by the energies, model P is most stable and the next is 49.8 kJ/mol of atoms up.